1.
An optimized crystal structure of YTh2Pt. Source: Alexandria, functional PBE-GGA.

```
YTh2Pt
1.0
-1.473 -1.068 3.291
-0.580 -3.648 0.705
8.957 -2.319 5.405
Y Pt Th
1 1 2
Direct
0.000 0.000 0.000 Y
0.500 0.500 0.500 Pt
0.105 0.105 0.684 Th
0.895 0.895 0.316 Th
```

Results
Energy of formation from the pure elements ... -152 meV/atom
Distance to the lowest polymorph of the same formula ... 1.86 eV/f.u.
Total DFT energy (no corrections) ... -27.95 eV/cell
Crystal system ... trigonal

---

2.
An optimized crystal structure of Li3Ce2ReN6. Source: Alexandria, functional PBE-GGA.

```
Li3Ce2ReN6
1.0
5.887 -0.105 0.092
-3.033 5.047 0.092
-0.874 -1.514 5.016
Li Ce N Re
3 2 6 1
Direct
0.876 0.124 0.500 Li
0.500 0.500 0.500 Li
0.124 0.876 0.500 Li
0.332 0.668 0.000 Ce
0.668 0.332 0.000 Ce
0.242 0.242 0.781 N
0.649 0.934 0.783 N
0.351 0.066 0.217 N
0.934 0.649 0.783 N
0.758 0.758 0.219 N
0.066 0.351 0.217 N
0.000 0.000 0.000 Re
```

Results
Total DFT energy (no corrections) ... -88.44 eV/cell
Formation energy without anion corrections ... -8.43 eV/f.u.
Crystal system ... monoclinic

---

3.
An optimized crystal structure of LiZr2Br. Source: Alexandria, functional PBE-GGA.

```
LiZr2Br
1.0
-2.675 2.492 -1.684
-0.960 -2.843 -2.682
-9.696 -3.994 4.684
Zr Br Li
4 2 2
Direct
0.119 0.625 0.250 Zr
0.631 0.125 0.250 Zr
0.875 0.881 0.750 Zr
0.375 0.369 0.750 Zr
0.000 0.000 0.000 Br
0.750 0.250 0.500 Br
0.500 0.500 0.000 Li
0.250 0.750 0.500 Li
```

Results
Distance to the lowest polymorph of the same formula ... 2.04 eV/f.u.
Total DFT energy (no corrections) ... -40.19 eV/cell
Formation energy without anion corrections ... 0.59 eV/f.u.
Crystal system ... tetragonal

---

4.
An optimized crystal structure of Sm2HoHfSb4. Source: Alexandria, functional PBE-GGA.

```
Sm2HoHfSb4
1.0
-1.383 2.919 2.901
-5.723 1.796 -4.535
-2.119 -5.570 4.595
Sm Sb Hf Ho
2 4 1 1
Direct
0.500 0.000 0.500 Sm
0.000 0.500 0.500 Sm
0.500 0.236 0.231 Sb
0.000 0.754 0.237 Sb
0.500 0.764 0.769 Sb
0.000 0.246 0.763 Sb
0.000 0.000 0.000 Hf
0.500 0.500 0.000 Ho
```

Results
Total DFT energy (no corrections) ... -48.16 eV/cell
Formation energy without anion corrections ... -7.70 eV/f.u.
Crystal system ... monoclinic

---

5.
An optimized crystal structure of AcI3. Source: Alexandria, functional PBE-GGA.

```
AcI3
1.0
-4.322 0.971 1.346
-0.504 -6.387 -4.976
1.080 -6.362 8.056
Ac I
2 6
Direct
0.259 0.518 0.750 Ac
0.741 0.482 0.250 Ac
0.091 0.181 0.250 I
0.653 0.305 0.566 I
0.347 0.695 0.434 I
0.653 0.305 0.934 I
0.347 0.695 0.066 I
0.909 0.819 0.750 I
```

Results
Total DFT energy (no corrections) ... -30.08 eV/cell
Formation energy without anion corrections ... -6.28 eV/f.u.
Crystal system ... orthorhombic

---

6.
An optimized crystal structure of TiZnIO2. Source: Alexandria, functional PBE-GGA.

```
TiZnIO2
1.0
-2.583 1.408 -2.535
-2.764 -0.171 2.722
1.336 5.521 1.704
I O Ti Zn
1 2 1 1
Direct
0.000 0.000 0.500 I
0.000 0.500 0.000 O
0.500 0.000 0.000 O
0.000 0.000 0.000 Ti
0.500 0.500 0.500 Zn
```

Results
Distance to the lowest polymorph of the same formula ... 0.00 eV/f.u.
Total DFT energy (no corrections) ... -27.14 eV/cell
Formation energy without anion corrections ... -6.51 eV/f.u.
Crystal system ... tetragonal